1.
The following is a DFT calculation (PBE) of a relaxed structure of SrNb2B.

Unit cell a=6.724 b=6.724 c=6.720 alpha=59.98 beta=59.98 gamma=90.00
Fractional positions:
Sr (0.000, 0.000, 0.000)
Sr (0.750, 0.250, 0.500)
Nb (0.374, 0.125, 0.250)
Nb (0.376, 0.625, 0.250)
Nb (0.375, 0.626, 0.750)
Nb (0.875, 0.624, 0.750)
B (0.500, 0.500, 0.000)
B (0.250, 0.750, 0.500)

Total energy = -6.222 eV/atom

=====

2.
The following is a DFT calculation (PBE) of a relaxed structure of Sr3NbB.

Unit cell a=5.635 b=5.635 c=5.635 alpha=90.00 beta=90.00 gamma=90.00
Site moments in Bohr magnetons follow the coordinates.
Fractional positions:
Sr (0.000, 0.500, 0.000)  0.00
Sr (0.000, 0.000, 0.500)  0.02
Sr (0.500, 0.000, 0.000)  0.00
Nb (0.500, 0.500, 0.500)  2.93
B (0.000, 0.000, 0.000)  -0.33

Polymorph energy (0 for the lowest one) = 0.00 eV/f.u.

=====

3.
The following is a DFT calculation (PBE) of a relaxed structure of SrNbB2.

Unit cell a=4.443 b=4.443 c=4.443 alpha=60.00 beta=60.00 gamma=60.00
Fractional positions:
Sr (0.000, 0.000, 0.000)
Nb (0.500, 0.500, 0.500)
B (0.250, 0.250, 0.250)
B (0.750, 0.750, 0.750)

Polymorph energy (0 for the lowest one) = 1.37 eV/f.u.

=====

4.
The following is a DFT calculation (PBE) of a relaxed structure of SrNbB2.

Unit cell a=5.224 b=5.224 c=7.536 alpha=69.72 beta=69.72 gamma=90.00
Fractional positions:
Sr (0.500, 0.500, 0.000)
Sr (0.250, 0.750, 0.500)
Nb (0.000, 0.000, 0.000)
Nb (0.750, 0.250, 0.500)
B (0.770, 0.125, 0.250)
B (0.980, 0.625, 0.250)
B (0.375, 0.230, 0.750)
B (0.875, 0.020, 0.750)

Polymorph energy (0 for the lowest one) = 0.00 eV/f.u.

=====

5.
The following is a DFT calculation (PBE) of a relaxed structure of SrTaNb2B.

Unit cell a=4.858 b=6.311 c=4.858 alpha=90.00 beta=90.00 gamma=90.00
Site moments in Bohr magnetons follow the coordinates.
Fractional positions:
Sr (0.000, 0.500, 0.000)  0.02
Nb (0.000, 0.000, 0.500)  0.07
Nb (0.500, 0.000, 0.000)  0.13
B (0.500, 0.500, 0.500)  0.08
Ta (0.000, 0.000, 0.000)  -0.01

Total energy = -5.903 eV/atom

=====

6.
The following is a DFT calculation (PBE) of a relaxed structure of Ta5NbB3.

Unit cell a=6.214 b=6.214 c=8.157 alpha=70.25 beta=70.25 gamma=73.86
Fractional positions:
Ta (0.962, 0.371, 0.333)
Ta (0.296, 0.704, 0.000)
Ta (0.764, 0.764, 0.031)
Ta (0.432, 0.432, 0.364)
Ta (0.568, 0.568, 0.636)
Ta (0.236, 0.236, 0.969)
Ta (0.371, 0.962, 0.333)
Ta (0.704, 0.296, 0.000)
Ta (0.038, 0.629, 0.667)
Ta (0.629, 0.038, 0.667)
Nb (0.099, 0.099, 0.697)
Nb (0.901, 0.901, 0.303)
B (0.667, 0.667, 0.833)
B (0.667, 0.667, 0.334)
B (0.000, 0.000, 0.000)
B (0.000, 0.000, 0.500)
B (0.333, 0.333, 0.167)
B (0.333, 0.333, 0.666)

Total energy = -10.236 eV/atom